Record 1
Material: Dy6Sn2Ru
Method: DFT, GGA-PBE
State: relaxed

Its density of states at the Fermi level is 13.90 states/eV per cell. For the calculated volume, the calculation gives 30.3 Å³ per atom. The calculation puts the raw total energy at -5.35 eV per atom. The value obtained for the formation energy is -0.365 eV per atom.

The space group is Immm (No. 71) and the conventional cell measures 5.1388, 7.1311 and 14.8770 Å, with angles of 90.00, 90.00 and 90.00 degrees. The asymmetric unit holds Dy at (0.0000, 0.2270, 0.0000), Dy at (0.0000, 0.2590, 0.3498), Sn at (0.0000, 0.5000, 0.1724) and Ru at (0.0000, 0.5000, 0.5000).



Record 2
Material: Mg8Zr
Method: DFT, GGA-PBE
State: relaxed

Its density of states at the Fermi level is 11.50 states/eV per cell. For the calculated volume, the calculation gives 22.5 Å³ per atom. The calculation puts the raw total energy at -2.33 eV per atom. The value obtained for the formation energy is 0.038 eV per atom.

The space group is I4/mmm (No. 139) and the conventional cell measures 10.6288, 10.6288 and 3.5883 Å, with angles of 90.00, 90.00 and 90.00 degrees. The asymmetric unit holds Mg at (0.0000, 0.3282, 0.0000), Mg at (0.1661, 0.1661, 0.5000) and Zr at (0.0000, 0.0000, 0.0000).



Record 3
Material: CuSnSbI2
Method: DFT, GGA-PBE
State: relaxed

Its density of states at the Fermi level is 4.18 states/eV per cell. The excess energy over the best structure of this formula in the dataset comes out at 0 meV/atom. For the calculated volume, the calculation gives 30.3 Å³ per atom. The calculation puts the raw total energy at -2.78 eV per atom.

The space group is P4/mmm (No. 123) and the conventional cell measures 5.3685, 5.3685 and 5.2483 Å, with angles of 90.00, 90.00 and 90.00 degrees. The asymmetric unit holds Cu at (0.0000, 0.0000, 0.0000), Sn at (0.5000, 0.5000, 0.5000), Sb at (0.0000, 0.0000, 0.5000) and I at (0.0000, 0.5000, 0.0000).



Record 4
Material: CdSn2As3
Method: DFT, GGA-PBE
State: relaxed

Its density of states at the Fermi level is 8.90 states/eV per cell. For the calculated volume, the calculation gives 30.7 Å³ per atom. The calculation puts the raw total energy at -3.87 eV per atom. The value obtained for the formation energy is -0.055 eV per atom.

The space group is Cc (No. 9) and the conventional cell measures 7.5305, 13.1267 and 7.9173 Å, with angles of 90.00, 109.56 and 90.00 degrees. The asymmetric unit holds Cd at (0.0000, 0.0853, 0.0000), Sn at (0.0071, 0.2474, 0.5094), Sn at (0.0131, 0.4171, 0.0038), As at (0.3853, 0.0838, 0.1327), As at (0.3880, 0.2482, 0.6414) and As at (0.3897, 0.4189, 0.1387).



Record 5
Material: Ac4Th3MnN8
Method: DFT, GGA-PBE
State: relaxed

Its density of states at the Fermi level is 13.66 states/eV per cell. For the calculated volume, the calculation gives 18.6 Å³ per atom. The calculation puts the raw total energy at -8.23 eV per atom.

The space group is R-3m (No. 166, hexagonal axes) and the conventional cell measures 7.4539, 7.4539 and 18.5212 Å, with angles of 90.00, 90.00 and 120.00 degrees. The asymmetric unit holds Ac at (0.0000, 0.0000, 0.0000), Ac at (0.0000, 0.5000, 0.0000), Th at (0.0000, 0.5000, 0.5000), Mn at (0.0000, 0.0000, 0.5000), N at (0.0000, 0.0000, 0.2393) and N at (0.0132, 0.5066, 0.7580).



Record 6
Material: Na2CeTaN4
Method: DFT, GGA-PBE
State: relaxed

Its density of states at the Fermi level is 24.36 states/eV per cell. For the calculated volume, the calculation gives 13.7 Å³ per atom. The calculation puts the raw total energy at -7.46 eV per atom.

The space group is Imma (No. 74) and the conventional cell measures 6.4666, 7.0563 and 9.5989 Å, with angles of 90.00, 90.00 and 90.00 degrees. The asymmetric unit holds Na at (0.0000, 0.0000, 0.0000), Na at (0.2500, 0.2500, 0.2500), Ce at (0.0000, 0.0000, 0.5000), Ta at (0.2500, 0.2500, 0.7500), N at (0.0000, 0.0484, 0.7421) and N at (0.2304, 0.2500, 0.5319).



Record 7
Material: Pr8C3I4N
Method: DFT, GGA-PBE
State: relaxed

Its density of states at the Fermi level is 15.10 states/eV per cell. For the calculated volume, the calculation gives 25.8 Å³ per atom. The calculation puts the raw total energy at -5.84 eV per atom.

The space group is C2/m (No. 12) and the conventional cell measures 13.4997, 7.7823 and 9.0534 Å, with angles of 90.00, 119.82 and 90.00 degrees. The asymmetric unit holds Pr at (0.0254, 0.2483, 0.3279), Pr at (0.2230, 0.0000, 0.6722), Pr at (0.2248, 0.5000, 0.6743), C at (0.0000, 0.5000, 0.5000), C at (0.2500, 0.2500, 0.5000), I at (0.0000, 0.0000, 0.0000), I at (0.0000, 0.5000, 0.0000), I at (0.2500, 0.2500, 0.0000) and N at (0.0000, 0.0000, 0.5000).



Record 8
Material: ZrMnBe2
Method: DFT, GGA-PBE
State: relaxed

Its density of states at the Fermi level is 2.83 states/eV per cell. The excess energy over the best structure of this formula in the dataset comes out at 13 meV/atom. For the calculated volume, the calculation gives 12.5 Å³ per atom. The calculation puts the raw total energy at -6.33 eV per atom. The value obtained for the formation energy is -0.033 eV per atom.

The space group is P4/mmm (No. 123) and the conventional cell measures 2.9335, 2.9335 and 5.7988 Å, with angles of 90.00, 90.00 and 90.00 degrees. The asymmetric unit holds Zr at (0.0000, 0.0000, 0.0000), Mn at (0.0000, 0.0000, 0.5000) and Be at (0.5000, 0.5000, 0.3168).



Record 9
Material: BaAlMo4
Method: DFT, GGA-PBE
State: relaxed

Its density of states at the Fermi level is 29.55 states/eV per cell. For the calculated volume, the calculation gives 19.6 Å³ per atom. The calculation puts the raw total energy at -7.40 eV per atom. The value obtained for the formation energy is 0.763 eV per atom.

The space group is F-43m (No. 216) and the conventional cell measures 7.7779, 7.7779 and 7.7779 Å, with angles of 90.00, 90.00 and 90.00 degrees. The asymmetric unit holds Ba at (0.0000, 0.0000, 0.0000), Al at (0.2500, 0.2500, 0.2500) and Mo at (0.1253, 0.1253, 0.6253).



Record 10
Material: Ba3Pt3Au
Method: DFT, GGA-PBE
State: relaxed

Its density of states at the Fermi level is 6.44 states/eV per cell. For the calculated volume, the calculation gives 29.8 Å³ per atom. The calculation puts the raw total energy at -4.57 eV per atom. The value obtained for the formation energy is -0.693 eV per atom.

The space group is C2/m (No. 12) and the conventional cell measures 11.7998, 4.6104 and 16.1917 Å, with angles of 90.00, 108.85 and 90.00 degrees. The asymmetric unit holds Ba at (0.0423, 0.0000, 0.2788), Ba at (0.1738, 0.0000, 0.5759), Ba at (0.1787, 0.5000, 0.1020), Pt at (0.0356, 0.5000, 0.4251), Pt at (0.0496, 0.0000, 0.9402), Pt at (0.1715, 0.5000, 0.7230) and Au at (0.1020, 0.5000, 0.8731).



Record 11
Material: Rb3Ac2BiSe6
Method: DFT, GGA-PBE
State: relaxed

Its density of states at the Fermi level is 0.00 states/eV per cell. For the calculated volume, the calculation gives 35.7 Å³ per atom. The calculation puts the raw total energy at -4.45 eV per atom.

The space group is C2/m (No. 12) and the conventional cell measures 7.8351, 13.5699 and 8.4722 Å, with angles of 90.00, 107.97 and 90.00 degrees. The asymmetric unit holds Rb at (0.0000, 0.0000, 0.0000), Rb at (0.0000, 0.3339, 0.0000), Ac at (0.0000, 0.1667, 0.5000), Bi at (0.0000, 0.5000, 0.5000), Se at (0.2300, 0.3387, 0.7060) and Se at (0.2460, 0.0000, 0.7056).



Record 12
Material: AlTcTe2
Method: DFT, GGA-PBE
State: relaxed

Its density of states at the Fermi level is 7.09 states/eV per cell. For the calculated volume, the calculation gives 27.1 Å³ per atom. The calculation puts the raw total energy at -4.98 eV per atom.

The space group is Cmmm (No. 65) and the conventional cell measures 4.8698, 11.0532 and 4.0303 Å, with angles of 90.00, 90.00 and 90.00 degrees. The asymmetric unit holds Al at (0.0000, 0.0000, 0.0000), Tc at (0.0000, 0.5000, 0.0000) and Te at (0.0000, 0.3424, 0.5000).